17
Lattice="0.4628 -6.1493 -3.8408 6.6658 2.6631 1.1201 -3.1661 -1.3706 6.3935" Properties=species:S:1:pos:R:3 comment="Pa4Rh12Au (PBE, optimized geometry)" formation_enthalpy_0k_ev_per_fu=-10.624 sg="No. 229" pbc="T T T"
Rh 0.4305 -4.6315 0.5962
Rh 4.4392 -1.4200 0.5181
Rh 3.5320 -0.2253 3.0767
Rh 2.1560 -1.0544 -0.8229
Pa 1.9813 -2.4284 1.8364
Rh 2.4412 0.9016 5.2412
Rh 2.8885 -3.6231 -0.7222
Pa 0.2314 -3.0746 -1.9204
Pa 3.3329 1.3315 0.5601
Pa -1.5831 -0.6853 3.1968
Au 0.0000 0.0000 0.0000
Rh 1.0585 0.3909 2.2725
Rh -0.8176 -2.2744 0.7721
Rh 4.9726 -2.4318 -1.8978
Rh -1.8857 -5.2455 1.7806
Rh 1.0740 -1.2337 4.3950
Rh -0.4767 -3.4368 3.1548